1.
Crystalline PaSi2RuRh2 at its relaxed geometry, computed with GGA-PBE.

Cell: 3.858 3.858 8.970 Å, 102.42 102.42 90.00°
Fractional coordinates of all 6 atoms:
Pa (0.500, 0.500, 0.000)
Si (0.672, 0.672, 0.343)
Si (0.328, 0.328, 0.657)
Ru (0.000, 0.000, 0.000)
Rh (0.250, 0.750, 0.500)
Rh (0.750, 0.250, 0.500)

Output
electronic total energy: -44.595 eV per cell
crystal system: tetragonal
calculated volume: 21.20 A^3/atom
SG: I4/mmm, No. 139
formation energy (no corrections): -46 meV per atom



2.
Crystalline PaSi2RuRh at its relaxed geometry, computed with GGA-PBE.

Cell: 4.098 4.098 5.708 Å, 111.04 111.04 90.00°
Fractional coordinates of all 5 atoms:
Pa (0.000, 0.000, 0.000)
Si (0.622, 0.622, 0.243)
Si (0.378, 0.378, 0.757)
Ru (0.250, 0.750, 0.500)
Rh (0.750, 0.250, 0.500)

Output
electronic total energy: -41.586 eV per cell
crystal system: tetragonal
calculated volume: 16.52 A^3/atom
SG: I-4m2, No. 119
formation energy (no corrections): -923 meV per atom



3.
Crystalline Pa2Si6RuRh at its relaxed geometry, computed with GGA-PBE.

Cell: 5.835 5.835 12.811 Å, 76.84 76.84 60.00°
Last column: magnetic moment on the atom in μB.
Fractional coordinates of all 20 atoms:
Pa (0.872, 0.872, 0.384)  0.50
Pa (0.128, 0.128, 0.616)  0.50
Pa (0.721, 0.721, 0.837)  0.82
Pa (0.279, 0.279, 0.163)  0.82
Si (0.935, 0.340, 0.385)  0.02
Si (0.340, 0.935, 0.385)  0.02
Si (0.340, 0.340, 0.385)  0.02
Si (0.065, 0.660, 0.615)  0.02
Si (0.660, 0.065, 0.615)  0.02
Si (0.660, 0.660, 0.615)  0.02
Si (0.774, 0.193, 0.840)  0.02
Si (0.193, 0.774, 0.840)  0.02
Si (0.193, 0.193, 0.840)  0.02
Si (0.226, 0.807, 0.160)  0.02
Si (0.807, 0.226, 0.160)  0.02
Si (0.807, 0.807, 0.160)  0.02
Ru (0.577, 0.577, 0.270)  0.08
Ru (0.423, 0.423, 0.730)  0.08
Rh (0.000, 0.000, 0.000)  0.04
Rh (0.500, 0.500, 0.500)  0.10

Output
electronic total energy: -144.385 eV per cell
crystal system: trigonal
calculated volume: 18.22 A^3/atom
SG: R-3m, No. 166
formation energy (no corrections): -404 meV per atom



Number 2 is which compound?
PaSi2RuRh